# 1
ZnReSe2 PBE optimized geometry; electronic total energy = -0.36840 Ry per atom; E_form (uncorrected) = 0.16 eV per atom; ΔE to the lowest computed polymorph = 0.34 eV per formula unit; symmetry = Immm; calculated volume = 20.36 Å³ per atom
1.0
-0.245 -3.816 -5.419
4.083 -4.638 -2.409
-3.881 2.602 4.707
Re Se Zn
1 2 1
direct
0.750 0.250 0.500
0.915 0.915 0.000
0.585 0.585 0.000
0.250 0.750 0.500


# 2
LiPdW3 PBE optimized geometry; electronic total energy = -0.57788 Ry per atom; energy of formation = 1.33 eV/atom; ΔE to the lowest computed polymorph = 0.00 eV per formula unit; symmetry = Pm-3m; calculated volume = 14.96 Å³ per atom
1.0
4.214 0.000 0.000
0.000 4.214 0.000
0.000 0.000 4.214
Pd W Li
1 3 1
direct
0.500 0.500 0.500
0.000 0.500 0.000
0.000 0.000 0.500
0.500 0.000 0.000
0.000 0.000 0.000


Question: The highest ΔE to the lowest computed polymorph belongs to which entry?
Answer: ZnReSe2


Question: Which formula does entry 2 have?
Answer: LiPdW3


Repeat the second record exactly.
LiPdW3 PBE optimized geometry; electronic total energy = -0.57788 Ry per atom; energy of formation = 1.33 eV/atom; ΔE to the lowest computed polymorph = 0.00 eV per formula unit; symmetry = Pm-3m; calculated volume = 14.96 Å³ per atom
1.0
4.214 0.000 0.000
0.000 4.214 0.000
0.000 0.000 4.214
Pd W Li
1 3 1
direct
0.500 0.500 0.500
0.000 0.500 0.000
0.000 0.000 0.500
0.500 0.000 0.000
0.000 0.000 0.000